Record 1
The following is a DFT calculation (PBE) of an optimized crystal structure of CeYPaSn.

Structure (POSCAR):
```
CeYPaSn
1.0
0.000 3.781 3.781
3.781 0.000 3.781
3.781 3.781 0.000
Ce Y Pa Sn
1 1 1 1
direct
0.000 0.000 0.000
0.500 0.500 0.500
0.750 0.750 0.750
0.250 0.250 0.250
```

Summary:
space group = No. 216
energy relative to the elements = -1.9 kJ/mol of atoms
total moment = 2.55 Bohr magnetons per cell
E_tot = -6.49 eV/atom

***

Record 2
The following is a DFT calculation (PBE) of an optimized crystal structure of CePaZnSn.

Structure (POSCAR):
```
CePaZnSn
1.0
0.000 3.705 3.705
3.705 0.000 3.705
3.705 3.705 0.000
Ce Pa Zn Sn
1 1 1 1
direct
0.000 0.000 0.000
0.500 0.500 0.500
0.250 0.250 0.250
0.750 0.750 0.750
```

Summary:
space group = No. 216
energy relative to the elements = -9.1 kJ/mol of atoms
total moment = 2.44 Bohr magnetons per cell
E_tot = -5.27 eV/atom

***

Record 3
The following is a DFT calculation (PBE) of an optimized crystal structure of CeZrPaSn.

Structure (POSCAR):
```
CeZrPaSn
1.0
0.000 3.663 3.663
3.663 0.000 3.663
3.663 3.663 0.000
Ce Zr Pa Sn
1 1 1 1
direct
0.000 0.000 0.000
0.500 0.500 0.500
0.750 0.750 0.750
0.250 0.250 0.250
```

Summary:
space group = No. 216
energy relative to the elements = -9.7 kJ/mol of atoms
total moment = 0.00 Bohr magnetons per cell
E_tot = -7.10 eV/atom

***

Record 4
The following is a DFT calculation (PBE) of an optimized crystal structure of CePaTa.

Structure (POSCAR):
```
CePaTa
1.0
-1.760 1.760 5.572
1.760 -1.760 5.572
1.760 1.760 -5.572
Ce Pa Ta
1 1 1
direct
0.000 0.000 0.000
0.329 0.329 0.000
0.681 0.681 0.000
```

Summary:
space group = No. 107
energy relative to the elements = 19.7 kJ/mol of atoms
total moment = 0.00 Bohr magnetons per cell
E_tot = -8.89 eV/atom
energy above the most stable polymorph in this dataset = 0 meV/atom

***

Record 5
The following is a DFT calculation (PBE) of an optimized crystal structure of CePaTa.

Structure (POSCAR):
```
CePaTa
1.0
4.221 0.000 0.000
0.000 4.221 0.000
0.000 0.000 7.751
Ce Pa Ta
2 2 2
direct
0.250 0.250 0.171
0.750 0.750 0.829
0.250 0.250 0.807
0.750 0.750 0.193
0.250 0.750 0.500
0.750 0.250 0.500
```

Summary:
space group = No. 129
energy relative to the elements = 26.6 kJ/mol of atoms
total moment = 0.00 Bohr magnetons per cell
E_tot = -8.82 eV/atom
energy above the most stable polymorph in this dataset = 72 meV/atom

***

Record 6
The following is a DFT calculation (PBE) of an optimized crystal structure of Ce2PaTa.

Structure (POSCAR):
```
Ce2PaTa
1.0
1.543 0.891 11.487
-1.543 0.891 11.487
0.000 -1.782 11.487
Ce Pa Ta
2 1 1
direct
0.082 0.082 0.082
0.918 0.918 0.918
0.500 0.500 0.500
0.000 0.000 0.000
```

Summary:
space group = No. 166
energy relative to the elements = 38.9 kJ/mol of atoms
total moment = 0.00 Bohr magnetons per cell
E_tot = -7.90 eV/atom

***

> Which value of E_tot does entry 1 give?

-6.49 eV/atom